DFT (PBE-GGA) results for a relaxed structure of Pu2CuHg3.

Cell: 3.5414 2.9454 13.1533 Å, 90.00 90.12 90.00°
Closest atoms and distances in Å follow each position.
Space group Pm (No. 6)
Symmetry-distinct sites (fractional):
1 Pu 0.0000 0.0000 0.0000 [1 per cell]  2 Pu 2.45
2 Pu 0.4989 0.0000 0.8708 [1 per cell]  2 Pu 2.45
3 Cu 0.5016 0.5000 0.1451 [1 per cell]  2 Hg 2.71, 2 Cu 2.95, 4 Pu 2.99
4 Hg 0.0029 0.5000 0.3009 [1 per cell]  2 Cu 2.71, 2 Hg 2.95
5 Hg 0.4996 0.5000 0.4955 [1 per cell]  6 Hg 2.95-3.12
6 Hg 0.9973 0.5000 0.6892 [1 per cell]  4 Hg 2.95-3.11

## Properties
N(E_F)   1.123 states/eV/atom
Electronic total energy   -32.93 eV for the cell shown
Formation energy from the elements   0.122 eV/atom